NaFePt2: optimized geometry, PBE-GGA.

a b c (Å): 2.8068 2.8068 8.1697
angles (deg): 90.00 90.00 90.00
Positions (direct):
Na: 0.0000 0.0000 0.0000
Fe: 0.0000 0.0000 0.5000
Pt: 0.5000 0.5000 0.2865
Pt: 0.5000 0.5000 0.7135

Summary:
- Fermi-level density of states: 2.94 states/eV/cell
- DFT formation energy: -0.74 eV/f.u.
- V: 16.09 A^3/atom
- Total DFT energy (no corrections): -5.651 eV per atom